Nd3Dy4Bi4 after structural relaxation. Source: the Alexandria database, functional PBE.

**Energy of formation**: -0.525 eV/atom

CIF file:
```
data_Nd3Dy4Bi4
_space_group_name_H-M_alt 'A m m 2'
_space_group_IT_number 38
_cell_length_a 11.499
_cell_length_b 4.377
_cell_length_c 14.249
_cell_angle_alpha 90.00
_cell_angle_beta 90.00
_cell_angle_gamma 90.00
loop_
_space_group_symop_operation_xyz
'x,y,z'
'-x,-y,z'
'-x,y,z'
'x,-y,z'
'x,y+1/2,z+1/2'
'-x,-y+1/2,z+1/2'
'-x,y+1/2,z+1/2'
'x,-y+1/2,z+1/2'
loop_
_atom_site_label
_atom_site_fract_x
_atom_site_fract_y
_atom_site_fract_z
Nd1 0.000 0.000 0.000
Nd2 0.352 0.000 0.075
Dy1 0.000 0.000 0.302
Dy2 0.243 0.000 0.775
Dy3 0.500 0.000 0.375
Bi1 0.000 0.000 0.657
Bi2 0.219 0.000 0.439
Bi3 0.500 0.000 0.705
```

PmInPAu after structural relaxation. Source: the Alexandria database, functional PBE.

**Energy of formation**: -0.496 eV/atom

CIF file:
```
data_PmInPAu
_space_group_name_H-M_alt 'F -4 3 m'
_space_group_IT_number 216
_space_group_name_Hall 'F -4 2 3'
_cell_length_a 7.116
_cell_length_b 7.116
_cell_length_c 7.116
_cell_angle_alpha 90.00
_cell_angle_beta 90.00
_cell_angle_gamma 90.00
loop_
_atom_site_label
_atom_site_fract_x
_atom_site_fract_y
_atom_site_fract_z
Pm1 0.000 0.000 0.000
In1 0.000 0.000 0.500
P1 0.250 0.250 0.250
Au1 0.250 0.250 0.750
```